(1)
Entry from Alexandria via LeMat-Bulk: LiScBe17 after structural relaxation (GGA-PBE).

a = 5.641 Å, b = 5.641 Å, c = 5.641 Å
α = 82.73°, β = 82.73°, γ = 82.73°
Fractional positions:
Be 0.706 0.291 0.002
Be 0.991 0.991 0.505
Be 0.002 0.291 0.706
Be 0.291 0.002 0.706
Be 0.659 0.161 0.659
Be 0.659 0.659 0.161
Sc 0.660 0.660 0.660
Be 0.002 0.706 0.291
Be 0.098 0.098 0.098
Be 0.342 0.342 0.851
Be 0.342 0.851 0.342
Be 0.291 0.706 0.002
Be 0.851 0.342 0.342
Be 0.161 0.659 0.659
Li 0.341 0.341 0.341
Be 0.991 0.505 0.991
Be 0.505 0.991 0.991
Be 0.706 0.002 0.291
Be 0.902 0.902 0.902

## Properties
ΔH_f (0 K)	-1.4	eV/f.u.
space-group type	R3m (160)

=====

(2)
Entry from Alexandria via LeMat-Bulk: YHfZn3 after structural relaxation (GGA-PBE).

a = 5.017 Å, b = 5.017 Å, c = 5.017 Å
α = 90.00°, β = 90.00°, γ = 90.00°
Fractional positions:
Hf 0.000 0.000 0.000
Zn 0.500 0.000 0.000
Y 0.500 0.500 0.500
Zn 0.000 0.000 0.500
Zn 0.000 0.500 0.000

## Properties
ΔH_f (0 K)	2.7	eV/f.u.
energy above the most stable polymorph in this dataset	0.0	meV/atom
space-group type	Pm-3m (221)

=====

(3)
Entry from Alexandria via LeMat-Bulk: Mg2AgB2Pt5 after structural relaxation (GGA-PBE).

a = 3.211 Å, b = 9.482 Å, c = 9.482 Å
α = 90.00°, β = 90.00°, γ = 90.00°
Fractional positions:
Pt 0.500 0.427 0.278
Pt 0.500 0.073 0.778
Mg 0.000 0.324 0.824
Pt 0.500 0.573 0.722
Pt 0.500 0.927 0.222
B 0.000 0.373 0.127
B 0.000 0.873 0.373
B 0.000 0.127 0.627
Pt 0.500 0.500 0.000
Pt 0.500 0.222 0.073
Pt 0.500 0.722 0.427
Ag 0.000 0.000 0.000
Mg 0.000 0.824 0.676
Ag 0.000 0.500 0.500
Pt 0.500 0.000 0.500
Pt 0.500 0.278 0.573
Mg 0.000 0.676 0.176
B 0.000 0.627 0.873
Mg 0.000 0.176 0.324
Pt 0.500 0.778 0.927

## Properties
ΔH_f (0 K)	-4.6	eV/f.u.
space-group type	P4/mbm (127)

=====

(4)
Entry from Alexandria via LeMat-Bulk: As2IrPb after structural relaxation (GGA-PBE).

a = 5.949 Å, b = 5.949 Å, c = 5.949 Å
α = 149.99°, β = 123.74°, γ = 65.08°
Fractional positions:
As 0.553 0.553 0.000
Pb 0.250 0.750 0.500
Ir 0.750 0.250 0.500
As 0.947 0.947 0.000

## Properties
ΔH_f (0 K)	0.6	eV/f.u.
energy above the most stable polymorph in this dataset	209.0	meV/atom
space-group type	Immm (71)

=====

no.,electronic total energy (eV/atom)
1,-3.8409
2,-3.5049
3,-5.4231
4,-5.3127